#one
BeV3Te | Alexandria | PBE | optimized geometry; space group = Pm-3m, No. 221; crystal system = cubic
1.0
4.833 0.000 0.000
0.000 4.833 0.000
0.000 0.000 4.833
Be Te V
1 1 3
Direct
0.500 0.500 0.500
0.000 0.000 0.000
0.000 0.500 0.000
0.000 0.000 0.500
0.500 0.000 0.000



#two
BeV3Te | Alexandria | PBE | optimized geometry; space group = Pm-3m, No. 221; crystal system = cubic
1.0
4.197 0.000 0.000
0.000 4.197 0.000
0.000 0.000 4.197
Be Te V
1 1 3
Direct
0.000 0.000 0.000
0.500 0.500 0.500
0.000 0.500 0.000
0.000 0.000 0.500
0.500 0.000 0.000



Stability ranking, top and bottom: #two is the most stable and #one is the least stable.



#one
Be2VTe | Alexandria | PBE | optimized geometry; space group = Fm-3m, No. 225; crystal system = cubic
1.0
0.000 3.088 3.088
3.088 0.000 3.088
3.088 3.088 0.000
Be Te V
2 1 1
Direct
0.250 0.250 0.250
0.750 0.750 0.750
0.500 0.500 0.500
0.000 0.000 0.000



#two
Be2VTe | Alexandria | PBE | optimized geometry; space group = I-42d, No. 122; crystal system = tetragonal
1.0
6.890 0.000 0.000
0.000 6.890 0.000
3.445 3.445 2.586
Be Te V
4 2 2
Direct
0.631 0.125 0.250
0.119 0.625 0.250
0.375 0.369 0.750
0.875 0.881 0.750
0.000 0.000 0.000
0.750 0.250 0.500
0.500 0.500 0.000
0.250 0.750 0.500



Stability ranking, top and bottom: #two is the most stable and #one is the least stable.



#one
Be3VTe | Alexandria | PBE | optimized geometry; space group = Pm-3m, No. 221; crystal system = cubic
1.0
-1.899 -3.939 -1.484
1.896 0.653 -4.160
3.758 -2.320 1.350
Be Te V
3 1 1
Direct
0.000 0.500 0.000
0.000 0.000 0.500
0.500 0.000 0.000
0.000 0.000 0.000
0.500 0.500 0.500



#two
Be3VTe | Alexandria | PBE | optimized geometry; space group = Pm-3m, No. 221; crystal system = cubic
1.0
-1.896 -1.427 -3.642
3.813 -1.577 -1.367
-0.873 -3.791 1.940
Be Te V
3 1 1
Direct
0.000 0.500 0.000
0.000 0.000 0.500
0.500 0.000 0.000
0.500 0.500 0.500
0.000 0.000 0.000



Stability ranking, top and bottom: #two is the most stable and #one is the least stable.



#one
BeTeW3 | Alexandria | PBE | optimized geometry; space group = Pm-3m, No. 221; crystal system = cubic
1.0
-2.147 -3.341 -1.753
3.014 -0.305 -3.110
2.270 -2.755 2.471
Be Te W
1 1 3
Direct
0.000 0.000 0.000
0.500 0.500 0.500
0.000 0.500 0.000
0.000 0.000 0.500
0.500 0.000 0.000



#two
BeTeW3 | Alexandria | PBE | optimized geometry; space group = Pm-3m, No. 221; crystal system = cubic
1.0
-4.716 -1.166 -0.164
0.877 -3.026 -3.701
0.785 -3.621 3.146
Be Te W
1 1 3
Direct
0.500 0.500 0.500
0.000 0.000 0.000
0.000 0.500 0.000
0.000 0.000 0.500
0.500 0.000 0.000



Stability ranking, top and bottom: #one is the most stable and #two is the least stable.